The following is a PBE calculation of a relaxed structure of TaSeBr, from Alexandria.

Total DFT energy (no corrections) = -0.224 Ha/atom
Space group = Pmn2_1, No. 31
Density of states at the Fermi level = 1.72 states/eV/f.u.

POSCAR file:
```
TaSeBr
1.0
6.2745 0.0000 0.0000
0.0000 6.6142 0.0000
0.0000 0.0000 10.0995
Ta Se Br
6 6 6
Direct
0.0092 0.2680 0.3458
0.0092 0.2680 0.6542
0.9747 0.2401 0.0000
0.4747 0.7599 0.5000
0.5092 0.7320 0.1542
0.5092 0.7320 0.8458
0.7472 0.4247 0.8342
0.7472 0.4247 0.1658
0.7590 0.9257 0.0000
0.2472 0.5753 0.3342
0.2472 0.5753 0.6658
0.2590 0.0743 0.5000
0.7191 0.4186 0.5000
0.7673 0.9160 0.3326
0.7673 0.9160 0.6674
0.2191 0.5814 0.0000
0.2673 0.0840 0.1674
0.2673 0.0840 0.8326
```

The following is a PBE calculation of a relaxed structure of TaTcSe2Br, from Alexandria.

Total DFT energy (no corrections) = -0.186 Ha/atom
Space group = P4/mmm, No. 123
Density of states at the Fermi level = 10.43 states/eV/f.u.

POSCAR file:
```
TaTcSe2Br
1.0
4.8184 0.0000 0.0000
0.0000 4.8184 0.0000
0.0000 0.0000 4.8940
Se Tc Br Ta
2 1 1 1
Direct
0.0000 0.5000 0.0000
0.5000 0.0000 0.0000
0.0000 0.0000 0.0000
0.0000 0.0000 0.5000
0.5000 0.5000 0.5000
```

The following is a PBE calculation of a relaxed structure of TaTcSe2Br, from Alexandria.

Total DFT energy (no corrections) = -0.203 Ha/atom
Space group = P4/mmm, No. 123
Density of states at the Fermi level = 4.69 states/eV/f.u.

POSCAR file:
```
TaTcSe2Br
1.0
5.0499 0.0000 0.0000
0.0000 5.0499 0.0000
0.0000 0.0000 5.0945
Se Tc Br Ta
2 1 1 1
Direct
0.0000 0.5000 0.0000
0.5000 0.0000 0.0000
0.5000 0.5000 0.5000
0.0000 0.0000 0.5000
0.0000 0.0000 0.0000
```